# 1
Below is YRe2Tc after structural relaxation, with properties calculated at the GGA-PBE level.

Lattice parameters (Å, degrees): 5.4782 5.4782 5.4782 146.68 129.98 61.43
Closest atoms and distances in Å follow each position.
Sites, in units of the cell vectors:
1 Y 0.2500 0.7500 0.5000  4 Tc 2.80, 4 Re 2.96
2 Tc 0.7500 0.2500 0.5000  4 Re 2.71, 4 Y 2.80
3 Re 0.9840 0.9840 0.0000  2 Tc 2.71, 4 Re 2.81, 2 Y 2.96
4 Re 0.5160 0.5160 0.0000  2 Tc 2.71, 4 Re 2.81, 2 Y 2.96

## Properties
* symmetry: Immm (71)
* offset from the most stable computed form: 65 meV per atom
* total energy: -10.167 eV per atom
* magnetization: 0.0 μB/cell
* DOS at the Fermi energy: 3.172 states/eV/cell

=====

# 2
Below is Ba3CeP2N6 after structural relaxation, with properties calculated at the GGA-PBE level.

Lattice parameters (Å, degrees): 6.0390 6.0390 7.2127 90.00 90.00 120.00
Closest atoms and distances in Å follow each position.
Sites, in units of the cell vectors:
1 N 0.3638 0.1819 0.6992  1 P 1.64
2 N 0.6362 0.8181 0.3008  1 P 1.64
3 Ba 0.3333 0.6667 0.6803  9 N 3.03-3.16, 1 P 3.15
4 P 0.6667 0.3333 0.7560  3 N 1.64
5 N 0.1819 0.3638 0.3008  1 P 1.64
6 Ce 0.0000 0.0000 0.5000  6 N 2.38
7 N 0.8181 0.1819 0.6992  1 P 1.64
8 N 0.1819 0.8181 0.3008  1 P 1.64
9 P 0.3333 0.6667 0.2440  3 N 1.64
10 Ba 0.6667 0.3333 0.3197  9 N 3.03-3.16, 1 P 3.15
11 Ba 0.0000 0.0000 0.0000  6 N 2.89
12 N 0.8181 0.6362 0.6992  1 P 1.64

## Properties
* E_form (uncorrected): -0.924 eV/atom
* symmetry: P-3m1 (164)
* total energy: -6.963 eV per atom
* magnetization: 1.7 μB/cell
* DOS at the Fermi energy: 3.263 states/eV/cell

=====

# 3
Below is Ho12Tl5O2 after structural relaxation, with properties calculated at the GGA-PBE level.

Lattice parameters (Å, degrees): 7.4984 9.1568 9.2104 105.08 90.00 114.17
Closest atoms and distances in Å follow each position.
Sites, in units of the cell vectors:
1 Ho 0.3969 0.3003 0.5738  4 Tl 3.03-3.12
2 Tl 0.6833 0.3667 0.8443  7 Ho 3.04-3.18
3 O 0.7303 0.0000 0.0000  6 Ho 2.42-2.57
4 Ho 0.0026 0.0052 0.8286  2 O 2.57
5 Ho 0.6145 0.6972 0.9208  1 O 2.44
6 Tl 0.3070 0.6139 0.6537  7 Ho 3.06-3.12
7 Ho 0.6031 0.6997 0.4262  4 Tl 3.03-3.12
8 Ho 0.9974 0.9948 0.1714  2 O 2.57
9 Tl 0.3167 0.6333 0.1557  7 Ho 3.04-3.18
10 Ho 0.9172 0.3028 0.0792  1 O 2.44
11 Ho 0.5023 0.0046 0.1845  2 O 2.42
12 Tl 0.0000 0.0000 0.5000  6 Ho 3.01-3.03
13 O 0.2697 0.0000 0.0000  6 Ho 2.42-2.57
14 Tl 0.6930 0.3861 0.3463  7 Ho 3.06-3.12
15 Ho 0.3855 0.3028 0.0792  1 O 2.44
16 Ho 0.0966 0.6997 0.4262  4 Tl 3.03-3.12
17 Ho 0.9034 0.3003 0.5738  4 Tl 3.03-3.12
18 Ho 0.4977 0.9954 0.8155  2 O 2.42
19 Ho 0.0828 0.6972 0.9208  1 O 2.44

## Properties
* E_form (uncorrected): -0.563 eV/atom
* symmetry: C2/m (12)
* total energy: -4.599 eV per atom
* magnetization: 0.0 μB/cell
* DOS at the Fermi energy: 17.031 states/eV/cell

=====

# 4
Below is AgAs2Br after structural relaxation, with properties calculated at the GGA-PBE level.

Lattice parameters (Å, degrees): 6.5536 6.5538 6.5878 131.51 131.51 90.72
Closest atoms and distances in Å follow each position.
Sites, in units of the cell vectors:
1 As 0.2943 0.7057 0.5000  2 As 2.52, 2 Ag 2.77
2 Ag 0.7354 0.2646 0.5000  4 As 2.77-3.04, 2 Br 3.04
3 Br 0.4937 0.5063 0.0000  2 As 2.72, 2 Ag 3.04
4 As 0.9767 0.0233 0.0000  2 As 2.52, 2 Br 2.72

## Properties
* E_form (uncorrected): 0.031 eV/atom
* symmetry: C2 (5)
* offset from the most stable computed form: 162 meV per atom
* total energy: -3.424 eV per atom
* magnetization: 0.0 μB/cell
* DOS at the Fermi energy: 0.767 states/eV/cell

=====

# 5
Below is InCo2OsPt after structural relaxation, with properties calculated at the GGA-PBE level.

Lattice parameters (Å, degrees): 4.5254 4.7917 4.5254 90.00 90.00 90.00
Closest atoms and distances in Å follow each position.
Sites, in units of the cell vectors:
1 Co 0.0000 0.0000 0.5000  2 Pt 2.26
2 Os 0.0000 0.5000 0.0000  2 Pt 2.40
3 Pt 0.0000 0.0000 0.0000  4 Co 2.26, 2 Os 2.40
4 Co 0.5000 0.0000 0.0000  2 Pt 2.26
5 In 0.5000 0.5000 0.5000  4 Os 3.20, 8 Co 3.30

## Properties
* symmetry: P4/mmm (123)
* total energy: -5.445 eV per atom
* magnetization: 4.7 μB/cell
* DOS at the Fermi energy: 6.713 states/eV/cell

=====

# 6
Below is K3Mg2CuCl9 after structural relaxation, with properties calculated at the GGA-PBE level.

Lattice parameters (Å, degrees): 7.0345 7.0345 8.6536 90.00 90.00 120.00
Closest atoms and distances in Å follow each position.
Sites, in units of the cell vectors:
1 Cl 0.1653 0.8347 0.3375  1 Cu 2.46, 1 Mg 2.52
2 Cl 0.8347 0.6694 0.6625  1 Cu 2.46, 1 Mg 2.52
3 Cl 0.5000 0.0000 0.0000  2 Mg 2.49
4 Mg 0.3333 0.6667 0.1669  6 Cl 2.49-2.52
5 K 0.3333 0.6667 0.6602  12 Cl 3.46-3.57
6 Cl 0.8347 0.1653 0.6625  1 Cu 2.46, 1 Mg 2.52
7 Mg 0.6667 0.3333 0.8331  6 Cl 2.49-2.52
8 Cl 0.3306 0.1653 0.6625  1 Cu 2.46, 1 Mg 2.52
9 Cu 0.0000 0.0000 0.5000  6 Cl 2.46
10 Cl 0.0000 0.5000 0.0000  2 Mg 2.49
11 Cl 0.6694 0.8347 0.3375  1 Cu 2.46, 1 Mg 2.52
12 Cl 0.5000 0.5000 0.0000  2 Mg 2.49
13 Cl 0.1653 0.3306 0.3375  1 Cu 2.46, 1 Mg 2.52
14 K 0.6667 0.3333 0.3398  12 Cl 3.46-3.57
15 K 0.0000 0.0000 0.0000  12 Cl 3.52-3.55

## Properties
* E_form (uncorrected): -1.583 eV/atom
* symmetry: P-3m1 (164)
* total energy: -3.396 eV per atom
* magnetization: 1.0 μB/cell
* DOS at the Fermi energy: 3.741 states/eV/cell

=====

# 7
Below is Pr2SmZn2In2 after structural relaxation, with properties calculated at the GGA-PBE level.

Lattice parameters (Å, degrees): 4.7664 4.7664 9.8560 76.01 76.01 60.00
Closest atoms and distances in Å follow each position.
Sites, in units of the cell vectors:
1 In 0.7330 0.7330 0.8009  3 Zn 2.75
2 Zn 0.3955 0.3955 0.8134  3 In 2.75
3 Zn 0.6045 0.6045 0.1866  3 In 2.75
4 Pr 0.1275 0.1275 0.6176  3 In 3.25, 3 Zn 3.32, 3 Pr 3.54, 1 Sm 3.62
5 In 0.2670 0.2670 0.1991  3 Zn 2.75
6 Pr 0.8725 0.8725 0.3824  3 In 3.25, 3 Zn 3.32, 3 Pr 3.54, 1 Sm 3.62
7 Sm 0.0000 0.0000 0.0000  6 Zn 3.27, 6 In 3.34, 2 Pr 3.62

## Properties
* symmetry: R-3m (166)
* total energy: -3.493 eV per atom
* magnetization: 0.0 μB/cell
* DOS at the Fermi energy: 4.274 states/eV/cell

=====

# 8
Below is ZrMnAs2 after structural relaxation, with properties calculated at the GGA-PBE level.

Lattice parameters (Å, degrees): 4.6060 4.6060 4.6060 60.00 60.00 60.00
Closest atoms and distances in Å follow each position.
Sites, in units of the cell vectors:
1 As 0.7500 0.7500 0.7500  4 Mn 2.82, 4 Zr 2.82
2 Zr 0.5000 0.5000 0.5000  8 As 2.82
3 As 0.2500 0.2500 0.2500  4 Mn 2.82, 4 Zr 2.82
4 Mn 0.0000 0.0000 0.0000  8 As 2.82

## Properties
* symmetry: Fm-3m (225)
* total energy: -7.076 eV per atom
* magnetization: 2.7 μB/cell
* DOS at the Fermi energy: 3.238 states/eV/cell

=====

# 9
Below is TcNiAu2 after structural relaxation, with properties calculated at the GGA-PBE level.

Lattice parameters (Å, degrees): 4.9043 4.9043 4.9043 132.61 132.62 69.26
Closest atoms and distances in Å follow each position.
Sites, in units of the cell vectors:
1 Au 0.5000 0.5000 0.0000  4 Au 2.79, 4 Ni 2.82, 4 Tc 2.82
2 Ni 0.7500 0.2500 0.5000  4 Tc 2.79, 8 Au 2.82
3 Tc 0.2500 0.7500 0.5000  4 Ni 2.79, 8 Au 2.82
4 Au 0.0000 0.0000 0.0000  4 Au 2.79, 4 Ni 2.82, 4 Tc 2.82

## Properties
* symmetry: I4/mmm (139)
* offset from the most stable computed form: 269 meV per atom
* total energy: -5.280 eV per atom
* magnetization: 2.7 μB/cell
* DOS at the Fermi energy: 4.406 states/eV/cell

=====

# 10
Below is Tb2CuPt3 after structural relaxation, with properties calculated at the GGA-PBE level.

Lattice parameters (Å, degrees): 5.2727 5.2727 5.2727 63.20 63.20 63.20
Closest atoms and distances in Å follow each position.
Sites, in units of the cell vectors:
1 Pt 0.0000 0.5000 0.0000  2 Cu 2.64, 4 Pt 2.76
2 Pt 0.5000 0.0000 0.0000  2 Cu 2.64, 4 Pt 2.76
3 Cu 0.0000 0.0000 0.0000  6 Pt 2.64
4 Tb 0.3730 0.3730 0.3730  9 Pt 3.05-3.19, 4 Tb 3.20-3.34, 3 Cu 3.23
5 Tb 0.6270 0.6270 0.6270  9 Pt 3.05-3.19, 4 Tb 3.20-3.34, 3 Cu 3.23
6 Pt 0.0000 0.0000 0.5000  2 Cu 2.64, 4 Pt 2.76

## Properties
* symmetry: R-3m (166)
* total energy: -6.223 eV per atom
* magnetization: 0.0 μB/cell
* DOS at the Fermi energy: 3.948 states/eV/cell

=====

# 11
Below is SrCa3Rh after structural relaxation, with properties calculated at the GGA-PBE level.

Lattice parameters (Å, degrees): 7.7928 8.0283 7.7809 105.43 62.66 75.69
Closest atoms and distances in Å follow each position.
Sites, in units of the cell vectors:
1 Ca 0.3461 0.2824 0.6781  1 Rh 2.74
2 Ca 0.3337 0.7717 0.6942  2 Rh 2.82-2.84
3 Sr 0.8376 0.2709 0.1712  2 Rh 2.93-2.97
4 Ca 0.4060 0.6152 0.1225  2 Rh 2.81-2.83
5 Sr 0.9132 0.6121 0.6142  1 Rh 2.87
6 Ca 0.9307 0.1013 0.5855  1 Rh 2.74
7 Rh 0.3695 0.4445 0.4047  4 Ca 2.74-2.83, 2 Sr 2.87-2.93
8 Rh 0.1311 0.9356 0.1473  5 Ca 2.74-2.84, 1 Sr 2.97
9 Ca 0.8434 0.7840 0.1883  1 Rh 2.74
10 Ca 0.4056 0.1169 0.1145  2 Rh 2.83

## Properties
* symmetry: P1 (1)
* offset from the most stable computed form: 17 meV per atom
* total energy: -3.218 eV per atom
* magnetization: 0.0 μB/cell
* DOS at the Fermi energy: 7.087 states/eV/cell

=====

# 12
Below is CsAg2IrCl after structural relaxation, with properties calculated at the GGA-PBE level.

Lattice parameters (Å, degrees): 5.1206 6.9987 5.1206 90.00 90.00 90.00
Closest atoms and distances in Å follow each position.
Sites, in units of the cell vectors:
1 Cs 0.0000 0.5000 0.0000  2 Ir 3.50, 4 Cl 3.62
2 Ag 0.0000 0.0000 0.5000  2 Ir 2.56
3 Cl 0.5000 0.5000 0.5000  4 Cs 3.62
4 Ag 0.5000 0.0000 0.0000  2 Ir 2.56
5 Ir 0.0000 0.0000 0.0000  4 Ag 2.56

## Properties
* E_form (uncorrected): 0.523 eV/atom
* symmetry: P4/mmm (123)
* total energy: -2.930 eV per atom
* magnetization: 1.3 μB/cell
* DOS at the Fermi energy: 6.174 states/eV/cell

=====

Question: Look up the DOS at the Fermi energy of the third one.
Answer: 17.031 states/eV/cell